(1)
TbTmPa2S4 | PBE | optimized geometry

* final energy: -0.5395 Ry per atom
* calculated density: 9.2 g/cm³
* volume: 165.86 Å³/cell

```
data_TbTmPa2S4
_chemical_formula_sum 'Tb1 Tm1 Pa2 S4'
_cell_length_a 6.5406
_cell_length_b 3.7705
_cell_length_c 7.0685
_cell_angle_alpha 90.00
_cell_angle_beta 107.92
_cell_angle_gamma 90.00
_symmetry_space_group_name_H-M 'P 1 2/m 1'
_symmetry_Int_Tables_number 10
_symmetry_space_group_name_Hall '-P 2y'
loop_
_atom_site_label
_atom_site_fract_x
_atom_site_fract_y
_atom_site_fract_z
Tb1 0.0000 0.0000 0.0000
Tm1 0.5000 0.5000 0.0000
Pa1 0.0000 0.5000 0.5000
Pa2 0.5000 0.0000 0.5000
S1 0.2508 0.5000 0.2426
S2 0.2568 0.0000 0.7597
```

(2)
GaPd6Pt | PBE | optimized geometry

* final energy: -0.3873 Ry per atom
* calculated density: 12.3 g/cm³
* ΔE_f: -0.241 eV per atom
* ΔE to the lowest computed polymorph: 0 meV/atom
* volume: 121.83 Å³/cell

```
data_GaPd6Pt
_chemical_formula_sum 'Ga1 Pd6 Pt1'
_cell_length_a 3.9450
_cell_length_b 3.9450
_cell_length_c 7.8283
_cell_angle_alpha 90.00
_cell_angle_beta 90.00
_cell_angle_gamma 90.00
_symmetry_space_group_name_H-M 'P 4/m m m'
_symmetry_Int_Tables_number 123
_symmetry_space_group_name_Hall '-P 4 2'
loop_
_atom_site_label
_atom_site_fract_x
_atom_site_fract_y
_atom_site_fract_z
Ga1 0.0000 0.0000 0.0000
Pd1 0.0000 0.5000 0.2434
Pd2 0.5000 0.5000 0.0000
Pd3 0.5000 0.5000 0.5000
Pt1 0.0000 0.0000 0.5000
```

(3)
Nd3BSe6 | PBE | optimized geometry

* final energy: -0.4106 Ry per atom
* calculated density: 5.6 g/cm³
* volume: 1084.57 Å³/cell

```
data_Nd3BSe6
_chemical_formula_sum 'Nd12 B4 Se24'
_cell_length_a 11.4434
_cell_length_b 14.0299
_cell_length_c 6.7554
_cell_angle_alpha 90.00
_cell_angle_beta 90.00
_cell_angle_gamma 90.00
_symmetry_space_group_name_H-M 'C m c 21'
_symmetry_Int_Tables_number 36
_symmetry_space_group_name_Hall 'C 2c -2'
loop_
_atom_site_label
_atom_site_fract_x
_atom_site_fract_y
_atom_site_fract_z
Nd1 0.0000 0.1022 0.0000
Nd2 0.1812 0.3992 0.1016
B1 0.0000 0.3045 0.6482
Se1 0.0000 0.2904 0.3389
Se2 0.0000 0.4463 0.7625
Se3 0.1494 0.2453 0.7810
Se4 0.1615 0.0301 0.3021
```